Ba2ZnHgN: optimized geometry, PBE.

The structure in CIF format:
```
data_Ba2ZnHgN
_cell_length_a 7.9487
_cell_length_b 4.3131
_cell_length_c 9.2498
_cell_angle_alpha 90.00
_cell_angle_beta 111.19
_cell_angle_gamma 90.00
_symmetry_space_group_name_H-M 'P 1'
_symmetry_Int_Tables_number 1
_symmetry_space_group_name_Hall 'P 1'
loop_
_atom_site_label
_atom_site_type_symbol
_atom_site_fract_x
_atom_site_fract_y
_atom_site_fract_z
Ba1 Ba 0.1897 0.2500 0.4638
Ba2 Ba 0.1917 0.2500 0.8841
Ba3 Ba 0.8083 0.7500 0.1159
Ba4 Ba 0.8103 0.7500 0.5362
Zn1 Zn 0.4331 0.7500 0.7558
Zn2 Zn 0.5669 0.2500 0.2442
Hg1 Hg 0.3280 0.7500 0.2091
Hg2 Hg 0.6720 0.2500 0.7909
N1 N 0.1693 0.7500 0.6714
N2 N 0.8307 0.2500 0.3286
```

Properties
As for the space-group type: P2_1/m (11). The calculation puts the total energy at -31.3 eV/cell. Its energy above the most stable polymorph in this dataset is 0.000 eV per atom. The energy relative to the elements, uncorrected is -1.9 eV per formula unit.